A geometry-optimized BaNd2Tl2Hg2 structure. Source: Alexandria, functional PBE.

Cell: 5.1634 5.1634 10.3342 Å, 75.53 75.53 60.00°
Closest atoms and distances in Å follow each position.
Fractional positions:
1 Ba 0.0000 0.0000 0.0000  6 Tl 3.71, 2 Nd 4.06
2 Nd 0.1369 0.1369 0.5894  3 Hg 3.10, 3 Nd 3.47
3 Nd 0.8631 0.8631 0.4106  3 Hg 3.10, 3 Nd 3.47
4 Tl 0.7409 0.7409 0.7773  3 Hg 3.15, 3 Nd 3.51
5 Tl 0.2591 0.2591 0.2227  3 Hg 3.15, 3 Nd 3.51
6 Hg 0.5580 0.5580 0.3259  3 Nd 3.10, 3 Tl 3.15, 1 Hg 3.45
7 Hg 0.4420 0.4420 0.6741  3 Nd 3.10, 3 Tl 3.15, 1 Hg 3.45

## Properties
* ΔE_f: -0.32 eV per atom
* E_tot: -2.724 eV per atom



A geometry-optimized SnGePb2S5 structure. Source: Alexandria, functional PBE.

Cell: 3.9347 9.3660 12.7523 Å, 90.00 90.00 102.13°
Closest atoms and distances in Å follow each position.
Fractional positions:
1 Sn 0.8046 0.6092 0.5500  3 S 2.61-2.74
2 Sn 0.1954 0.3908 0.0500  3 S 2.61-2.74
3 Ge 0.5431 0.0863 0.9041  4 S 2.19-2.38
4 Ge 0.4569 0.9137 0.4041  4 S 2.19-2.38
5 Pb 0.8715 0.7430 0.8471  7 S 2.98-3.20
6 Pb 0.1334 0.2668 0.6840  5 S 2.81-3.08
7 Pb 0.1285 0.2570 0.3471  7 S 2.98-3.20
8 Pb 0.8666 0.7332 0.1840  5 S 2.81-3.08
9 S 0.3362 0.6724 0.0175  1 Sn 2.61
10 S 0.6613 0.3225 0.8651  1 Ge 2.22
11 S 0.4777 0.9554 0.7600  1 Ge 2.19
12 S 0.2865 0.5730 0.6976  2 Sn 2.74, 1 Pb 2.81
13 S 0.9893 0.9785 0.4987  2 Ge 2.38
14 S 0.6638 0.3276 0.5175  1 Sn 2.61
15 S 0.3387 0.6775 0.3651  1 Ge 2.22
16 S 0.5223 0.0446 0.2600  1 Ge 2.19
17 S 0.7135 0.4270 0.1976  2 Sn 2.74, 1 Pb 2.81
18 S 0.0107 0.0215 0.9987  2 Ge 2.38

## Properties
* formation energy from raw total energies: -0.4165 eV per atom
* E_tot: -4.491 eV per atom